PrTlCdSn | Alexandria | GGA-PBE | optimized geometry; polymorph energy (0 for the lowest one) = 0.000 eV/atom; space group = No. 47; energy of formation from the pure elements = -0.42 eV/atom
1.0
4.6004 0.0000 0.0000
0.0000 4.7416 0.0000
0.0000 0.0000 4.9657
Pr Tl Cd Sn
1 1 1 1
direct
0.0000 0.0000 0.0000
0.5000 0.0000 0.5000
0.0000 0.5000 0.5000
0.5000 0.5000 0.0000